1.
DFT (PBE) results for a geometry-optimized La6TbHoTm2 structure.

a = 9.7782 Å, b = 9.0068 Å, c = 9.0068 Å
α = 117.68°, β = 94.35°, γ = 94.35°
Sites, in units of the cell vectors:
La: 0.8072 0.4389 0.9963
La: 0.3072 0.9963 0.4389
La: 0.1928 0.5611 0.0037
Tm: 0.4533 0.8019 0.7085
Tm: 0.0467 0.2915 0.1981
Tm: 0.9533 0.7085 0.8019
Ho: 0.2500 0.4118 0.5882
La: 0.6928 0.0037 0.5611
La: 0.4476 0.2395 0.8913
La: 0.8799 0.2961 0.5095
Ho: 0.7500 0.5882 0.4118
La: 0.5524 0.7605 0.1087
Tb: 0.7500 0.0267 0.9733
La: 0.0524 0.1087 0.7605
La: 0.6201 0.4905 0.7039
La: 0.1201 0.7039 0.4905
Tm: 0.5467 0.1981 0.2915
Tb: 0.2500 0.9733 0.0267
La: 0.9476 0.8913 0.2395
La: 0.3799 0.5095 0.2961

Results
Its crystal system is monoclinic. The mass density comes out at 7.15 g/cm3. The volume comes out at 34.743 Å³ per atom. As for the formation energy: 108 meV/atom.


2.
DFT (PBE) results for a geometry-optimized Dy2FeNi structure.

a = 3.3912 Å, b = 3.3912 Å, c = 9.2357 Å
α = 79.42°, β = 79.42°, γ = 60.00°
Last column: magnetic moment on the atom in μB.
Sites, in units of the cell vectors:
Dy: 0.9024 0.9024 0.2928  -0.24
Ni: 0.5000 0.5000 0.5000  -0.06
Fe: 0.0000 0.0000 0.0000  2.58
Dy: 0.0976 0.0976 0.7072  -0.24

Results
Its crystal system is trigonal. The mass density comes out at 8.12 g/cm3. Its energy above the most stable polymorph in this dataset is 0.628 eV/atom. The volume comes out at 22.474 Å³ per atom. As for the formation energy: 518 meV/atom.